Entry 1:
# Cs2LiPrBr6 PBE-GGA relaxed
data_Cs2LiPrBr6
_symmetry_space_group_name_H-M 'I 4/m m m'
_symmetry_Int_Tables_number 139
_symmetry_space_group_name_Hall '-I 4 2'
_cell_length_a 8.022
_cell_length_b 8.022
_cell_length_c 11.406
_cell_angle_alpha 90.00
_cell_angle_beta 90.00
_cell_angle_gamma 90.00
loop_
_atom_site_label
_atom_site_fract_x
_atom_site_fract_y
_atom_site_fract_z
_atom_site_occupancy
Cs1 0.000 0.500 0.250 1
Li1 0.000 0.000 0.000 1
Pr1 0.000 0.000 0.500 1
Br1 0.000 0.000 0.245 1
Br2 0.244 0.244 0.000 1
# calculated total energy	-36.54	eV per formula unit
# V	36.70	A^3/atom
# total magnetic moment	0.00	μB/atom

Entry 2:
# CdGe2Te2F2 PBE-GGA relaxed
data_CdGe2Te2F2
_symmetry_space_group_name_H-M 'P -4 m 2'
_symmetry_Int_Tables_number 115
_cell_length_a 3.933
_cell_length_b 3.933
_cell_length_c 9.669
_cell_angle_alpha 90.00
_cell_angle_beta 90.00
_cell_angle_gamma 90.00
loop_
_symmetry_equiv_pos_as_xyz
'x,y,z'
'y,-x,-z'
'-x,-y,z'
'-y,x,-z'
'-x,y,z'
'-y,-x,-z'
'x,-y,z'
'y,x,-z'
loop_
_atom_site_label
_atom_site_fract_x
_atom_site_fract_y
_atom_site_fract_z
_atom_site_occupancy
Cd1 0.000 0.000 0.000 1
Ge1 0.000 0.500 0.642 1
Te1 0.000 0.500 0.210 1
F1 0.000 0.000 0.500 1
F2 0.500 0.500 0.500 1
# calculated total energy	-25.83	eV per formula unit
# V	21.36	A^3/atom